The following is a PBE-GGA calculation of crystalline Rb2NbSBr6 at its relaxed geometry, from Alexandria via LeMat-Bulk.

Lattice parameters (Å, degrees): 7.9657 7.9657 8.2759 61.23 61.23 90.00
Each line ends with the local moment (μB).
Sites, in units of the cell vectors:
Br 0.2143 0.2143 0.5715  0.00
Br 0.2291 0.7709 0.0000  0.04
Br 0.7709 0.2291 0.0000  0.04
Br 0.2291 0.2291 0.0000  0.04
Br 0.7709 0.7709 0.0000  0.04
Br 0.7857 0.7857 0.4285  0.00
Rb 0.7500 0.2500 0.5000  0.00
Rb 0.2500 0.7500 0.5000  0.00
S 0.5000 0.5000 0.0000  0.74
Nb 0.0000 0.0000 0.0000  0.26

Calculated values
E_form (uncorrected), eV per atom: -0.839
Uncorrected energy, eV/atom: -3.46

---

The following is a PBE-GGA calculation of crystalline RbNbSeBr2 at its relaxed geometry, from Alexandria via LeMat-Bulk.

Lattice parameters (Å, degrees): 5.5205 5.5205 5.0548 90.00 90.00 90.00
Each line ends with the local moment (μB).
Sites, in units of the cell vectors:
Br 0.0000 0.5000 0.0000  0.03
Br 0.5000 0.0000 0.0000  0.03
Rb 0.5000 0.5000 0.5000  0.00
Nb 0.0000 0.0000 0.0000  1.60
Se 0.0000 0.0000 0.5000  -0.06

Calculated values
Energy above the lowest structure with this stoichiometry, meV/atom: 0
E_form (uncorrected), eV per atom: -0.886
Uncorrected energy, eV/atom: -4.46

---

The following is a PBE-GGA calculation of crystalline Rb2NbSeBr6 at its relaxed geometry, from Alexandria via LeMat-Bulk.

Lattice parameters (Å, degrees): 8.6486 8.6486 8.0236 57.39 57.39 90.00
Each line ends with the local moment (μB).
Sites, in units of the cell vectors:
Nb 0.0000 0.0000 0.0000  0.84
Rb 0.7500 0.2500 0.5000  0.00
Rb 0.2500 0.7500 0.5000  0.00
Br 0.2131 0.7869 0.0000  0.00
Br 0.2493 0.2493 0.5014  -0.01
Br 0.7507 0.7507 0.4986  -0.01
Br 0.7869 0.7869 0.0000  0.00
Br 0.2131 0.2131 0.0000  0.00
Br 0.7869 0.2131 0.0000  0.00
Se 0.5000 0.5000 0.0000  -0.10

Calculated values
E_form (uncorrected), eV per atom: -0.891
Uncorrected energy, eV/atom: -3.44

---

The following is a PBE-GGA calculation of crystalline RbNbSeBr2 at its relaxed geometry, from Alexandria via LeMat-Bulk.

Lattice parameters (Å, degrees): 5.9943 5.9943 5.9904 90.00 90.00 90.00
Each line ends with the local moment (μB).
Sites, in units of the cell vectors:
Br 0.0000 0.5000 0.0000  -0.12
Br 0.5000 0.0000 0.0000  -0.12
Rb 0.0000 0.0000 0.0000  -0.04
Se 0.0000 0.0000 0.5000  -0.78
Nb 0.5000 0.5000 0.5000  2.92

Calculated values
Energy above the lowest structure with this stoichiometry, meV/atom: 1769
E_form (uncorrected), eV per atom: 0.883
Uncorrected energy, eV/atom: -2.69